# 1
# Ca2NbOs

A relaxed Ca2NbOs crystal (PBE, the Alexandria database).

Calculated values
Energy above the most stable polymorph in this dataset (eV per atom): 0.170
Energy of formation (kJ/mol of atoms): 94.9

a b c (Å): 5.0126 5.0126 5.0126
angles (deg): 60.00 60.00 60.00
Closest atoms and distances in Å follow each position.
Sites, in units of the cell vectors:
Nb 0.0000 0.0000 0.0000  8 Ca 3.07
Os 0.5000 0.5000 0.5000  8 Ca 3.07
Ca 0.2500 0.2500 0.2500  4 Nb 3.07, 4 Os 3.07
Ca 0.7500 0.7500 0.7500  4 Nb 3.07, 4 Os 3.07


# 2
# Rb2Ti3AgO8

A relaxed Rb2Ti3AgO8 crystal (PBE, the Alexandria database).

Calculated values
Energy relative to the elements, uncorrected (eV/atom): -2.223

a b c (Å): 6.1463 6.1463 7.6882
angles (deg): 66.44 66.44 60.00
Closest atoms and distances in Å follow each position.
Sites, in units of the cell vectors:
Rb 0.1360 0.1360 0.5919  4 O 2.72-2.88
Rb 0.4944 0.4944 0.5169  6 O 2.77-2.90
Ti 0.4954 0.0040 0.0053  6 O 1.91-2.07
Ti 0.0040 0.4954 0.0053  6 O 1.91-2.07
Ti 0.4954 0.4954 0.0053  6 O 1.91-2.07
Ag 0.9231 0.9231 0.2308  3 O 2.08
O 0.2770 0.2770 0.1689  3 Ti 2.07
O 0.7135 0.7135 0.8594  3 Ti 2.06
O 0.2257 0.2257 0.8704  2 Ti 1.91
O 0.6783 0.2257 0.8704  2 Ti 1.91
O 0.2257 0.6783 0.8704  2 Ti 1.91
O 0.7492 0.3259 0.1757  2 Ti 2.04, 1 Ag 2.08
O 0.3259 0.7492 0.1757  2 Ti 2.04, 1 Ag 2.08
O 0.7492 0.7492 0.1757  2 Ti 2.04, 1 Ag 2.08


# 3
# ReSbIrOs2

A relaxed ReSbIrOs2 crystal (PBE, the Alexandria database).

Calculated values
Energy relative to the elements, uncorrected (eV/atom): 2.115

a b c (Å): 4.7525 4.7365 4.7525
angles (deg): 90.00 90.00 90.00
Closest atoms and distances in Å follow each position.
Sites, in units of the cell vectors:
Re 0.0000 0.5000 0.0000  2 Ir 2.37
Ir 0.0000 0.0000 0.0000  2 Re 2.37, 4 Os 2.38
Os 0.0000 0.0000 0.5000  2 Ir 2.38
Os 0.5000 0.0000 0.0000  2 Ir 2.38
Sb 0.5000 0.5000 0.5000  8 Os 3.35, 4 Re 3.36


# 4
# Th2AlNi3

A relaxed Th2AlNi3 crystal (PBE, the Alexandria database).

Calculated values
Energy of formation (kJ/mol of atoms): -41.4

a b c (Å): 5.7428 5.7428 8.0729
angles (deg): 107.86 107.86 97.92
Closest atoms and distances in Å follow each position.
Sites, in units of the cell vectors:
Th 0.2500 0.7500 0.5000  8 Ni 3.01-3.13, 4 Al 3.10
Th 0.7615 0.7615 0.0000  10 Ni 2.94-3.13, 2 Al 3.11
Th 0.7500 0.2500 0.5000  8 Ni 3.01-3.13, 4 Al 3.10
Th 0.2385 0.2385 0.0000  10 Ni 2.94-3.13, 2 Al 3.11
Al 0.6681 0.6681 0.3362  3 Ni 2.39-2.41
Al 0.3319 0.3319 0.6638  3 Ni 2.39-2.41
Ni 0.3450 0.8271 0.1721  1 Al 2.39, 2 Ni 2.46-2.50
Ni 0.1729 0.6550 0.8279  1 Al 2.39, 2 Ni 2.46-2.50
Ni 0.6550 0.1729 0.8279  1 Al 2.39, 2 Ni 2.46-2.50
Ni 0.8271 0.3450 0.1721  1 Al 2.39, 2 Ni 2.46-2.50
Ni 0.1631 0.1631 0.3262  1 Al 2.41, 2 Ni 2.50
Ni 0.8369 0.8369 0.6738  1 Al 2.41, 2 Ni 2.50


# 5
# TbHoTmTh

A relaxed TbHoTmTh crystal (PBE, the Alexandria database).

Calculated values
Energy above the most stable polymorph in this dataset (eV per atom): 0.000
Energy of formation (kJ/mol of atoms): 0.5

a b c (Å): 3.5730 3.5737 11.5404
angles (deg): 90.00 98.91 120.00
Closest atoms and distances in Å follow each position.
Sites, in units of the cell vectors:
Tb 0.4709 0.1333 0.6195  3 Th 3.50, 3 Ho 3.54, 6 Tb 3.57
Ho 0.9687 0.3825 0.3664  3 Tm 3.52, 3 Tb 3.54, 6 Ho 3.57
Tm 0.1352 0.9657 0.1156  3 Th 3.49, 3 Ho 3.52, 6 Tm 3.57
Th 0.3031 0.5494 0.8681  3 Tm 3.49, 3 Tb 3.50, 6 Th 3.57


# 6
# NaGeBr2

A relaxed NaGeBr2 crystal (PBE, the Alexandria database).

Calculated values
Energy above the most stable polymorph in this dataset (eV per atom): 0.053
Energy relative to the elements, uncorrected (eV/atom): -0.467

a b c (Å): 5.2210 5.2210 5.2210
angles (deg): 60.00 60.00 60.00
Closest atoms and distances in Å follow each position.
Sites, in units of the cell vectors:
Na 0.0000 0.0000 0.0000  8 Br 3.20
Ge 0.5000 0.5000 0.5000  8 Br 3.20
Br 0.2500 0.2500 0.2500  4 Ge 3.20, 4 Na 3.20
Br 0.7500 0.7500 0.7500  4 Na 3.20, 4 Ge 3.20


# 7
# HoEr6Tm6

A relaxed HoEr6Tm6 crystal (PBE, the Alexandria database).

Calculated values
Energy of formation (kJ/mol of atoms): 22.2

a b c (Å): 6.4779 6.4779 10.8210
angles (deg): 90.00 90.00 115.43
Closest atoms and distances in Å follow each position.
Sites, in units of the cell vectors:
Ho 0.0000 0.0000 0.0000  8 Er 3.60-3.90
Er 0.0000 0.0000 0.6672  3 Er 3.39-3.62, 6 Tm 3.44-3.48, 1 Ho 3.60
Er 0.0000 0.0000 0.3328  3 Er 3.39-3.62, 6 Tm 3.44-3.48, 1 Ho 3.60
Er 0.3559 0.6441 0.0000  1 Er 3.16, 4 Tm 3.20
Er 0.6441 0.3559 0.0000  1 Er 3.16, 4 Tm 3.20
Er 0.2612 0.7388 0.5000  6 Tm 3.38-3.44, 4 Er 3.39-3.47
Er 0.7388 0.2612 0.5000  6 Tm 3.38-3.44, 4 Er 3.39-3.47
Tm 0.0000 0.5000 0.7749  6 Er 3.20-3.44, 4 Tm 3.35-3.46
Tm 0.5000 0.0000 0.7749  6 Er 3.20-3.44, 4 Tm 3.35-3.46
Tm 0.5000 0.5000 0.6973  4 Tm 3.35, 6 Er 3.38-3.64
Tm 0.5000 0.0000 0.2251  6 Er 3.20-3.44, 4 Tm 3.35-3.46
Tm 0.0000 0.5000 0.2251  6 Er 3.20-3.44, 4 Tm 3.35-3.46
Tm 0.5000 0.5000 0.3027  4 Tm 3.35, 6 Er 3.38-3.64


# 8
# Pm3YSe6

A relaxed Pm3YSe6 crystal (PBE, the Alexandria database).

Calculated values
Energy above the most stable polymorph in this dataset (eV per atom): 0.022
Energy relative to the elements, uncorrected (eV/atom): -1.845

a b c (Å): 6.9805 7.7023 10.6346
angles (deg): 90.00 90.79 90.00
Closest atoms and distances in Å follow each position.
Sites, in units of the cell vectors:
Pm 0.5457 0.8960 0.7477  6 Se 2.96-3.15
Pm 0.5000 0.5000 0.0000  6 Se 2.86-2.95
Pm 0.4543 0.1040 0.2523  6 Se 2.96-3.15
Pm 0.0457 0.6040 0.2477  6 Se 2.96-3.15
Pm 0.0000 0.0000 0.5000  6 Se 2.86-2.95
Pm 0.9543 0.3960 0.7523  6 Se 2.96-3.15
Y 0.5000 0.5000 0.5000  6 Se 2.79-2.90
Y 0.0000 0.0000 0.0000  6 Se 2.79-2.90
Se 0.6746 0.1802 0.9177  1 Y 2.79, 3 Pm 2.89-3.12
Se 0.6676 0.1844 0.5807  1 Y 2.83, 3 Pm 2.86-3.15
Se 0.6600 0.4393 0.2542  1 Y 2.90, 3 Pm 2.95-2.98
Se 0.3399 0.5607 0.7458  1 Y 2.90, 3 Pm 2.95-2.98
Se 0.3324 0.8156 0.4193  1 Y 2.83, 3 Pm 2.86-3.15
Se 0.3254 0.8198 0.0823  1 Y 2.79, 3 Pm 2.89-3.12
Se 0.1746 0.3198 0.4177  1 Y 2.79, 3 Pm 2.89-3.12
Se 0.1676 0.3156 0.0807  1 Y 2.83, 3 Pm 2.86-3.15
Se 0.1600 0.0607 0.7542  1 Y 2.90, 3 Pm 2.95-2.98
Se 0.8400 0.9393 0.2458  1 Y 2.90, 3 Pm 2.95-2.98
Se 0.8324 0.6844 0.9193  1 Y 2.83, 3 Pm 2.86-3.15
Se 0.8254 0.6802 0.5823  1 Y 2.79, 3 Pm 2.89-3.12


# 9
# CdHgRu2

A relaxed CdHgRu2 crystal (PBE, the Alexandria database).

Calculated values
Energy above the most stable polymorph in this dataset (eV per atom): 0.386
Energy of formation (kJ/mol of atoms): 56.3

a b c (Å): 5.0976 5.0976 5.0976
angles (deg): 132.94 132.94 68.75
Closest atoms and distances in Å follow each position.
Sites, in units of the cell vectors:
Cd 0.2500 0.7500 0.5000  4 Hg 2.88, 8 Ru 2.93
Hg 0.7500 0.2500 0.5000  4 Cd 2.88, 8 Ru 2.93
Ru 0.0000 0.0000 0.0000  4 Ru 2.88, 4 Cd 2.93, 4 Hg 2.93
Ru 0.5000 0.5000 0.0000  4 Ru 2.88, 4 Hg 2.93, 4 Cd 2.93


# 10
# K3PmTa2O9

A relaxed K3PmTa2O9 crystal (PBE, the Alexandria database).

Calculated values
Energy relative to the elements, uncorrected (eV/atom): -2.419

a b c (Å): 5.9771 5.9771 7.3976
angles (deg): 90.00 90.00 120.00
Closest atoms and distances in Å follow each position.
Sites, in units of the cell vectors:
K 0.3333 0.6667 0.6728  12 O 2.97-3.14
K 0.0000 0.0000 0.0000  12 O 2.93-2.99
K 0.6667 0.3333 0.3272  12 O 2.97-3.14
Pm 0.0000 0.0000 0.5000  6 O 2.33
Ta 0.3333 0.6667 0.1614  6 O 1.94-2.10
Ta 0.6667 0.3333 0.8386  6 O 1.94-2.10
O 0.8216 0.1784 0.6917  1 Ta 1.94
O 0.8216 0.6432 0.6917  1 Ta 1.94
O 0.3568 0.1784 0.6917  1 Ta 1.94
O 0.6432 0.8216 0.3083  1 Ta 1.94
O 0.1784 0.3568 0.3083  1 Ta 1.94
O 0.1784 0.8216 0.3083  1 Ta 1.94
O 0.5000 0.0000 0.0000  2 Ta 2.10
O 0.0000 0.5000 0.0000  2 Ta 2.10
O 0.5000 0.5000 0.0000  2 Ta 2.10


# 11
# Cs2NbOsF6

A relaxed Cs2NbOsF6 crystal (PBE, the Alexandria database).

Calculated values
Energy relative to the elements, uncorrected (eV/atom): -1.752

a b c (Å): 6.2692 6.2692 6.2673
angles (deg): 59.99 59.99 90.00
Closest atoms and distances in Å follow each position.
Sites, in units of the cell vectors:
Cs 0.7500 0.2500 0.5000  12 F 3.13-3.14
Cs 0.2500 0.7500 0.5000  12 F 3.13-3.14
Nb 0.5000 0.5000 0.0000  6 F 2.27
Os 0.0000 0.0000 0.0000  6 F 2.16
F 0.2442 0.2442 0.5117  1 Os 2.16, 1 Nb 2.27
F 0.7558 0.7558 0.4884  1 Os 2.16, 1 Nb 2.27
F 0.2442 0.2442 0.0000  1 Os 2.16, 1 Nb 2.27
F 0.7558 0.7558 0.0000  1 Os 2.16, 1 Nb 2.27
F 0.7558 0.2442 0.0000  1 Os 2.16, 1 Nb 2.27
F 0.2442 0.7558 0.0000  1 Os 2.16, 1 Nb 2.27


# 12
# RbZr2Se

A relaxed RbZr2Se crystal (PBE, the Alexandria database).

Calculated values
Energy relative to the elements, uncorrected (eV/atom): 0.273

a b c (Å): 5.1959 5.1959 10.6330
angles (deg): 75.86 75.86 90.00
Closest atoms and distances in Å follow each position.
Sites, in units of the cell vectors:
Se 0.5000 0.5000 0.0000  4 Zr 2.82
Se 0.2500 0.7500 0.5000  4 Zr 2.82
Rb 0.0000 0.0000 0.0000  4 Se 3.67, 8 Zr 3.71-3.95
Rb 0.7500 0.2500 0.5000  4 Se 3.67, 8 Zr 3.71-3.95
Zr 0.4096 0.1250 0.2500  2 Zr 2.62, 2 Se 2.82
Zr 0.3404 0.6250 0.2500  2 Zr 2.62, 2 Se 2.82
Zr 0.3750 0.5904 0.7500  2 Zr 2.62, 2 Se 2.82
Zr 0.8750 0.6596 0.7500  2 Zr 2.62, 2 Se 2.82